(1)
{
  "formula": "Ta2BeGa2Ni7",
  "functional": "GGA-PBE",
  "state": "relaxed",
  "lattice_angstrom": [[-0.3561, 3.2180, 0.1736], [0.0439, -0.1695, 3.2375], [14.5348, 3.1637, 1.6000]],
  "species": ["Ta", "Ta", "Be", "Ga", "Ga", "Ni", "Ni", "Ni", "Ni", "Ni", "Ni", "Ni"],
  "frac_coords": [[0.6326, 0.6326, 0.7370], [0.3674, 0.3674, 0.2630], [0.0000, 0.0000, 0.0000], [0.8096, 0.8096, 0.3794], [0.1904, 0.1904, 0.6206], [0.5000, 0.5000, 0.0000], [0.2732, 0.2732, 0.4527], [0.7268, 0.7268, 0.5473], [0.9358, 0.4358, 0.1269], [0.4358, 0.9358, 0.1269], [0.5642, 0.0642, 0.8731], [0.0642, 0.5642, 0.8731]],
  "dft_energy_ev_per_atom": -6.19,
  "crystal_system": "monoclinic",
  "volume_a3_per_atom": 12.950,
  "formation_enthalpy_0k_ev_per_atom": -0.028,
  "sg": "C2/m",
  "magmom_total_mub_per_atom": 0.000
}

(2)
{
  "formula": "TaBe2GaNi",
  "functional": "GGA-PBE",
  "state": "relaxed",
  "lattice_angstrom": [[4.5834, 0.0000, 0.0000], [0.0000, 4.5308, 0.0000], [0.0000, 0.0000, 4.5834]],
  "species": ["Ni", "Be", "Be", "Ga", "Ta"],
  "frac_coords": [[0.0000, 0.5000, 0.0000], [0.0000, 0.0000, 0.5000], [0.5000, 0.0000, 0.0000], [0.5000, 0.5000, 0.5000], [0.0000, 0.0000, 0.0000]],
  "dft_energy_ev_per_atom": -4.13,
  "crystal_system": "tetragonal",
  "volume_a3_per_atom": 19.036,
  "formation_enthalpy_0k_ev_per_atom": 1.494,
  "sg": "P4/mmm",
  "magmom_total_mub_per_atom": 0.012
}

(3)
{
  "formula": "Tb2Be2GaNi5",
  "functional": "GGA-PBE",
  "state": "relaxed",
  "lattice_angstrom": [[-1.8701, 2.7529, 0.2034], [-4.1632, -2.2578, -7.7185], [-6.2350, -4.5831, 4.7037]],
  "species": ["Tb", "Tb", "Tb", "Tb", "Be", "Be", "Be", "Be", "Ga", "Ga", "Ni", "Ni", "Ni", "Ni", "Ni", "Ni", "Ni", "Ni", "Ni", "Ni"],
  "frac_coords": [[0.0000, 0.6824, 0.1824], [0.0000, 0.3176, 0.8176], [0.0000, 0.1824, 0.3176], [0.0000, 0.8176, 0.6824], [0.0000, 0.1112, 0.6112], [0.0000, 0.8888, 0.3888], [0.0000, 0.6112, 0.8888], [0.0000, 0.3888, 0.1112], [0.0000, 0.0000, 0.0000], [0.0000, 0.5000, 0.5000], [0.5000, 0.2210, 0.0638], [0.5000, 0.7790, 0.9362], [0.5000, 0.0638, 0.7790], [0.5000, 0.7210, 0.4362], [0.5000, 0.9362, 0.2210], [0.5000, 0.2790, 0.5638], [0.5000, 0.5638, 0.7210], [0.5000, 0.4362, 0.2790], [0.5000, 0.5000, 0.0000], [0.5000, 0.0000, 0.5000]],
  "dft_energy_ev_per_atom": -5.26,
  "crystal_system": "tetragonal",
  "volume_a3_per_atom": 13.671,
  "formation_enthalpy_0k_ev_per_atom": -0.392,
  "sg": "P4/mbm",
  "magmom_total_mub_per_atom": 0.000
}

(4)
{
  "formula": "Th2BeGa4Ni3",
  "functional": "GGA-PBE",
  "state": "relaxed",
  "lattice_angstrom": [[4.1704, 0.0000, 0.0000], [0.0000, 4.1704, 0.0000], [0.0000, 0.0000, 9.7957]],
  "species": ["Th", "Th", "Be", "Ga", "Ga", "Ga", "Ga", "Ni", "Ni", "Ni"],
  "frac_coords": [[0.5000, 0.0000, 0.2567], [0.0000, 0.5000, 0.7433], [0.5000, 0.5000, 0.5000], [0.5000, 0.5000, 0.0000], [0.0000, 0.0000, 0.0000], [0.5000, 0.0000, 0.6240], [0.0000, 0.5000, 0.3760], [0.0000, 0.0000, 0.5000], [0.5000, 0.0000, 0.8677], [0.0000, 0.5000, 0.1323]],
  "dft_energy_ev_per_atom": -5.33,
  "crystal_system": "tetragonal",
  "volume_a3_per_atom": 17.037,
  "formation_enthalpy_0k_ev_per_atom": -0.532,
  "sg": "P-4m2",
  "magmom_total_mub_per_atom": 0.000
}

(5)
{
  "formula": "Th2BeGa3Ni12",
  "functional": "GGA-PBE",
  "state": "relaxed",
  "lattice_angstrom": [[8.2297, 1.1125, 0.7891], [5.0316, 6.6067, 0.7891], [5.0316, 2.9288, 5.9744]],
  "species": ["Th", "Th", "Be", "Ga", "Ga", "Ga", "Ni", "Ni", "Ni", "Ni", "Ni", "Ni", "Ni", "Ni", "Ni", "Ni", "Ni", "Ni"],
  "frac_coords": [[0.6564, 0.6564, 0.6564], [0.3436, 0.3436, 0.3436], [0.0000, 0.0000, 0.0000], [0.5000, 0.0000, 0.0000], [0.0000, 0.5000, 0.0000], [0.0000, 0.0000, 0.5000], [0.4213, 0.4213, 0.8087], [0.9229, 0.9229, 0.3380], [0.3380, 0.9229, 0.9229], [0.8087, 0.4213, 0.4213], [0.9229, 0.3380, 0.9229], [0.4213, 0.8087, 0.4213], [0.5787, 0.5787, 0.1913], [0.0771, 0.0771, 0.6620], [0.6620, 0.0771, 0.0771], [0.1913, 0.5787, 0.5787], [0.0771, 0.6620, 0.0771], [0.5787, 0.1913, 0.5787]],
  "dft_energy_ev_per_atom": -5.51,
  "crystal_system": "trigonal",
  "volume_a3_per_atom": 14.566,
  "formation_enthalpy_0k_ev_per_atom": -0.121,
  "sg": "R-3m",
  "magmom_total_mub_per_atom": 0.000
}

(6)
{
  "formula": "Th2BeGaNi6",
  "functional": "GGA-PBE",
  "state": "relaxed",
  "lattice_angstrom": [[-2.6722, -4.6115, 2.5095], [5.1977, -3.1895, -2.0125], [1.5239, -3.1114, 4.7676]],
  "species": ["Th", "Th", "Be", "Ga", "Ni", "Ni", "Ni", "Ni", "Ni", "Ni"],
  "frac_coords": [[0.7400, 0.2806, 0.4594], [0.2600, 0.7194, 0.5406], [0.0000, 0.0000, 0.0000], [0.5000, 0.5000, 0.0000], [0.2333, 0.2333, 0.5170], [0.7546, 0.9157, 0.8384], [0.2498, 0.7669, 0.9996], [0.7502, 0.2331, 0.0004], [0.2454, 0.0843, 0.1616], [0.7667, 0.7667, 0.4830]],
  "dft_energy_ev_per_atom": -6.03,
  "crystal_system": "monoclinic",
  "volume_a3_per_atom": 15.740,
  "formation_enthalpy_0k_ev_per_atom": -0.406,
  "sg": "C2/m",
  "magmom_total_mub_per_atom": 0.000
}

Question: What is the formula in the fifth record?
Answer: Th2BeGa3Ni12